# 1
GGA-PBE LaNiSn2, optimized geometry; formation energy from the elements = -0.77 eV/f.u.; crystal system = tetragonal
1.0
5.1424 0.0000 0.0000
0.0000 5.1424 0.0000
0.0000 0.0000 17.2064
La Ni Sn
4 4 8
direct
0.0000 0.0000 0.0000
0.0000 0.5000 0.2500
0.5000 0.0000 0.7500
0.5000 0.5000 0.5000
0.0000 0.0000 0.5000
0.0000 0.5000 0.7500
0.5000 0.0000 0.2500
0.5000 0.5000 0.0000
0.1176 0.2500 0.6250
0.2500 0.6176 0.8750
0.2500 0.8824 0.3750
0.3824 0.2500 0.1250
0.6176 0.7500 0.1250
0.7500 0.1176 0.3750
0.7500 0.3824 0.8750
0.8824 0.7500 0.6250

=====

# 2
GGA-PBE ZnPdPb3, optimized geometry; formation energy from the elements = 1.12 eV/f.u.; excess energy over the best structure of this formula in the dataset = 0 kJ/mol of formula units; crystal system = cubic
1.0
5.3771 0.0000 0.0000
0.0000 5.3771 0.0000
0.0000 0.0000 5.3771
Zn Pd Pb
1 1 3
direct
0.0000 0.0000 0.0000
0.5000 0.5000 0.5000
0.0000 0.5000 0.5000
0.5000 0.0000 0.5000
0.5000 0.5000 0.0000

=====

# 3
GGA-PBE Cs3Y3HfS8, optimized geometry; formation energy (no corrections) = -1814 meV per atom; crystal system = trigonal
1.0
3.9906 2.3040 8.2226
-3.9906 2.3040 8.2226
0.0000 -4.6079 8.2226
Cs Y Hf S
3 3 1 8
direct
0.0000 0.5000 0.5000
0.5000 0.0000 0.5000
0.5000 0.5000 0.0000
0.0000 0.0000 0.5000
0.0000 0.5000 0.0000
0.5000 0.0000 0.0000
0.5000 0.5000 0.5000
0.2270 0.2270 0.2270
0.2445 0.7149 0.7149
0.2851 0.2851 0.7555
0.2851 0.7555 0.2851
0.7149 0.2445 0.7149
0.7149 0.7149 0.2445
0.7555 0.2851 0.2851
0.7730 0.7730 0.7730

=====

Computed values of size of the total moment (unit: Bohr magnetons per cell) for the preceding records, in sequence: 0.0; 0.0; 0.0.